No. 1
First-principles (GGA-PBE) data for a relaxed Sr3YTi crystal, as listed in Alexandria via LeMat-Bulk.

Cell: 6.2950 6.2950 6.2950 Å, 90.00 90.00 90.00°
With the nearest neighbours (Å) after each atom.
Space group Pm-3m (No. 221)
One atom of each set of equivalent atoms:
Sr 0.0000 0.0000 0.5000  2 Y 3.15
Y 0.0000 0.0000 0.0000  6 Sr 3.15
Ti 0.5000 0.5000 0.5000  12 Sr 4.45

Summary:
energy relative to the lowest polymorph listed for this composition = 416 meV/atom
ρ = 2.66 Mg/m³
DFT formation energy = 6.33 eV per formula unit
electronic total energy = -2.62 eV/atom
density of states at the Fermi level = 1.012 states/eV per atom


No. 2
First-principles (GGA-PBE) data for a relaxed Dy3UO8 crystal, as listed in Alexandria via LeMat-Bulk.

Cell: 5.3589 5.3589 5.3589 Å, 90.00 90.00 90.00°
With the nearest neighbours (Å) after each atom.
Space group Pm-3m (No. 221)
One atom of each set of equivalent atoms:
Dy 0.0000 0.0000 0.5000  8 O 2.35
U 0.5000 0.5000 0.5000  8 O 2.23
O 0.2599 0.2599 0.2599  1 U 2.23, 3 Dy 2.35

Summary:
ρ = 9.21 Mg/m³
electronic total energy = -8.69 eV/atom
density of states at the Fermi level = 0.686 states/eV per atom
uncorrected formation energy = -3.290 eV per atom


No. 3
First-principles (GGA-PBE) data for a relaxed CaTc2W crystal, as listed in Alexandria via LeMat-Bulk.

Cell: 3.1529 4.9862 8.9492 Å, 90.00 90.00 90.00°
With the nearest neighbours (Å) after each atom.
Space group Immm (No. 71)
One atom of each set of equivalent atoms:
Ca 0.0000 0.0000 0.0000  8 Tc 2.91-3.21, 4 W 2.95, 2 Ca 3.15
Tc 0.0000 0.5000 0.2263  2 W 2.57
W 0.0000 0.0000 0.5000  4 Tc 2.57

Summary:
energy relative to the lowest polymorph listed for this composition = 267 meV/atom
ρ = 9.91 Mg/m³
DFT formation energy = 2.26 eV per formula unit
electronic total energy = -8.36 eV/atom
density of states at the Fermi level = 0.848 states/eV per atom


No. 4
First-principles (GGA-PBE) data for a relaxed Na2In8Sn crystal, as listed in Alexandria via LeMat-Bulk.

Cell: 4.8730 4.8730 12.8019 Å, 90.00 90.00 90.00°
With the nearest neighbours (Å) after each atom.
Space group P4/mmm (No. 123)
One atom of each set of equivalent atoms:
Na 0.0000 0.0000 0.1700  12 In 3.27-3.45
In 0.0000 0.5000 0.0000  4 Na 3.27, 8 In 3.32-3.45
In 0.0000 0.5000 0.3446  2 Sn 3.15, 6 In 3.26-3.45, 2 Na 3.31
In 0.5000 0.5000 0.1759  8 In 3.26-3.32, 4 Na 3.45
Sn 0.0000 0.0000 0.5000  8 In 3.15

Summary:
energy relative to the lowest polymorph listed for this composition = 0 meV/atom
ρ = 5.92 Mg/m³
DFT formation energy = -0.44 eV per formula unit
electronic total energy = -2.64 eV/atom
density of states at the Fermi level = 0.342 states/eV per atom


No. 5
First-principles (GGA-PBE) data for a relaxed KB2S3 crystal, as listed in Alexandria via LeMat-Bulk.

Cell: 19.0473 3.6640 6.8708 Å, 90.00 97.12 90.00°
With the nearest neighbours (Å) after each atom.
Space group C2/m (No. 12)
One atom of each set of equivalent atoms:
K 0.1380 0.0000 0.4440  5 S 3.07-3.30, 1 B 3.34
B 0.0604 0.5000 0.9454  4 S 1.90-2.10
B 0.1987 0.0000 0.0075  4 S 1.88-2.06
S 0.0315 0.5000 0.2007  2 B 1.90-1.91
S 0.1057 0.0000 0.8788  3 B 1.88-2.10
S 0.2195 0.5000 0.1403  3 B 1.96-2.06

Summary:
ρ = 2.19 Mg/m³
electronic total energy = -4.78 eV/atom
density of states at the Fermi level = 0.097 states/eV per atom
uncorrected formation energy = -0.309 eV per atom


No. 6
First-principles (GGA-PBE) data for a relaxed ThSnHgBi crystal, as listed in Alexandria via LeMat-Bulk.

Cell: 4.6428 4.8513 4.9096 Å, 90.00 90.00 90.00°
With the nearest neighbours (Å) after each atom.
Space group Pmmm (No. 47)
One atom of each set of equivalent atoms:
Th 0.0000 0.0000 0.0000  4 Bi 3.36, 4 Sn 3.38, 4 Hg 3.45
Sn 0.5000 0.0000 0.5000  4 Hg 3.36, 4 Th 3.38, 4 Bi 3.45
Hg 0.0000 0.5000 0.5000  4 Sn 3.36, 4 Bi 3.38, 4 Th 3.45
Bi 0.5000 0.5000 0.0000  4 Th 3.36, 4 Hg 3.38, 4 Sn 3.45

Summary:
ρ = 11.42 Mg/m³
DFT formation energy = -1.49 eV per formula unit
electronic total energy = -4.27 eV/atom
density of states at the Fermi level = 0.892 states/eV per atom


No. 7
First-principles (GGA-PBE) data for a relaxed PmErBeCu crystal, as listed in Alexandria via LeMat-Bulk.

Cell: 6.9573 6.9573 6.9573 Å, 90.00 90.00 90.00°
With the nearest neighbours (Å) after each atom.
Space group F-43m (No. 216)
One atom of each set of equivalent atoms:
Pm 0.0000 0.0000 0.0000  4 Be 3.01, 4 Cu 3.01
Er 0.0000 0.0000 0.5000  4 Cu 3.01, 4 Be 3.01
Be 0.2500 0.2500 0.7500  4 Er 3.01, 4 Pm 3.01
Cu 0.2500 0.2500 0.2500  4 Er 3.01, 4 Pm 3.01

Summary:
ρ = 7.59 Mg/m³
DFT formation energy = -0.12 eV per formula unit
electronic total energy = -4.31 eV/atom
density of states at the Fermi level = 0.447 states/eV per atom


No. 8
First-principles (GGA-PBE) data for a relaxed Sm3Tm5Sc crystal, as listed in Alexandria via LeMat-Bulk.

Cell: 12.0840 11.0254 11.4941 Å, 90.00 119.87 90.00°
With the nearest neighbours (Å) after each atom.
Space group C2/m (No. 12)
One atom of each set of equivalent atoms:
Sm 0.0000 0.0000 0.0000  2 Sc 2.91, 2 Tm 3.14
Sm 0.0000 0.0000 0.5000  2 Sc 3.00
Sm 0.1782 0.5000 0.2413  4 Tm 3.11-3.46, 1 Sc 3.28
Sm 0.2191 0.0000 0.3440  1 Sc 2.99, 2 Tm 3.31-3.32
Tm 0.0000 0.2849 0.0000  3 Sm 3.14-3.46, 4 Tm 3.38-3.42
Tm 0.0051 0.5000 0.3703  2 Tm 3.04-3.30, 3 Sm 3.11-3.32
Tm 0.1770 0.2559 0.8110  1 Sc 3.08, 3 Tm 3.18-3.44
Tm 0.1773 0.5000 0.9588  1 Sc 3.02, 3 Tm 3.18-3.30, 1 Sm 3.24
Sc 0.0655 0.0000 0.7881  3 Sm 2.91-3.00, 3 Tm 3.02-3.08

Summary:
ρ = 6.71 Mg/m³
DFT formation energy = 5.25 eV per formula unit
electronic total energy = -4.18 eV/atom
density of states at the Fermi level = 1.407 states/eV per atom


No. 9
First-principles (GGA-PBE) data for a relaxed TiSbOF2 crystal, as listed in Alexandria via LeMat-Bulk.

Cell: 4.3158 4.3158 3.8118 Å, 90.00 90.00 90.00°
With the nearest neighbours (Å) after each atom.
Space group P4/mmm (No. 123)
One atom of each set of equivalent atoms:
Ti 0.0000 0.0000 0.0000  2 O 1.91
Sb 0.5000 0.5000 0.5000  8 F 2.88, 4 O 3.05
O 0.0000 0.0000 0.5000  2 Ti 1.91
F 0.0000 0.5000 0.0000  2 Ti 2.16

Summary:
energy relative to the lowest polymorph listed for this composition = 0 meV/atom
ρ = 5.23 Mg/m³
electronic total energy = -5.95 eV/atom
density of states at the Fermi level = 1.418 states/eV per atom
uncorrected formation energy = -1.806 eV per atom


No. 10
First-principles (GGA-PBE) data for a relaxed GaPbCl5 crystal, as listed in Alexandria via LeMat-Bulk.

Cell: 7.3411 7.3483 10.4407 Å, 110.02 108.17 94.00°
With the nearest neighbours (Å) after each atom.
Space group P-1 (No. 2)
One atom of each set of equivalent atoms:
Ga 0.0916 0.3421 0.2501  4 Cl 2.21
Pb 0.5000 0.0000 0.5000  6 Cl 2.79-3.02
Pb 0.5000 0.5000 0.0000  6 Cl 2.80-3.02
Cl 0.1405 0.0941 0.3228  1 Ga 2.21
Cl 0.1824 0.2984 0.0607  1 Ga 2.21
Cl 0.2293 0.6816 0.8223  1 Ga 2.21
Cl 0.2374 0.6222 0.4393  1 Ga 2.21
Cl 0.4060 0.1554 0.7497  2 Pb 2.79-2.80

Summary:
ρ = 3.06 Mg/m³
electronic total energy = -3.40 eV/atom
density of states at the Fermi level = 0.000 states/eV per atom
uncorrected formation energy = -1.115 eV per atom


No. 11
First-principles (GGA-PBE) data for a relaxed AcNd2Pd9 crystal, as listed in Alexandria via LeMat-Bulk.

Cell: 5.4841 5.4841 27.1842 Å, 90.00 90.00 120.00°
With the nearest neighbours (Å) after each atom.
Space group R-3m (No. 166, hexagonal axes)
One atom of each set of equivalent atoms:
Ac 0.0000 0.0000 0.0000  6 Pd 3.17
Nd 0.0000 0.0000 0.1396  12 Pd 3.11-3.34
Pd 0.0000 0.0000 0.3331  6 Pd 2.80-2.82
Pd 0.0000 0.0000 0.5000  6 Pd 2.73
Pd 0.0029 0.5015 0.9147  7 Pd 2.72-2.82

Summary:
ρ = 10.37 Mg/m³
DFT formation energy = -8.60 eV per formula unit
electronic total energy = -5.75 eV/atom
density of states at the Fermi level = 0.773 states/eV per atom


No. 12
First-principles (GGA-PBE) data for a relaxed SmHo2InO crystal, as listed in Alexandria via LeMat-Bulk.

Cell: 4.7521 4.7521 4.9253 Å, 90.00 90.00 90.00°
With the nearest neighbours (Å) after each atom.
Space group P4/mmm (No. 123)
One atom of each set of equivalent atoms:
Sm 0.0000 0.0000 0.0000  2 O 2.46
Ho 0.0000 0.5000 0.5000  2 O 2.38
In 0.5000 0.5000 0.0000  4 Sm 3.36, 8 Ho 3.42
O 0.0000 0.0000 0.5000  4 Ho 2.38, 2 Sm 2.46

Summary:
ρ = 9.12 Mg/m³
electronic total energy = -5.73 eV/atom
density of states at the Fermi level = 0.340 states/eV per atom
uncorrected formation energy = -1.419 eV per atom